Entry 1:
Material: TlGaPd2
Method: DFT, GGA-PBE
State: optimized geometry

a b c (Å): 6.5364 6.5364 6.5364
angles (deg): 90.00 90.00 90.00
Last column: nearest neighbours and their distance in Å.
Space group Fm-3m (No. 225)
One atom of each set of equivalent atoms:
1 Tl 0.0000 0.0000 0.0000 x4  8 Pd 2.83
2 Ga 0.0000 0.0000 0.5000 x4  8 Pd 2.83
3 Pd 0.2500 0.2500 0.2500 x8  4 Ga 2.83, 4 Tl 2.83

## Properties
crystal system	cubic
ΔH_f (0 K)	-263	meV/atom

Entry 2:
Material: Tl3GaPd
Method: DFT, GGA-PBE
State: optimized geometry

a b c (Å): 5.3414 5.3414 5.3414
angles (deg): 90.00 90.00 90.00
Last column: nearest neighbours and their distance in Å.
Space group Pm-3m (No. 221)
One atom of each set of equivalent atoms:
1 Tl 0.0000 0.0000 0.5000 x3  2 Pd 2.67
2 Ga 0.5000 0.5000 0.5000 x1  12 Tl 3.78
3 Pd 0.0000 0.0000 0.0000 x1  6 Tl 2.67

## Properties
crystal system	cubic
polymorph energy (0 for the lowest one)	0.0	meV per atom
ΔH_f (0 K)	148	meV/atom

Entry 3:
Material: TlGa3Pd7
Method: DFT, GGA-PBE
State: optimized geometry

a b c (Å): 8.3708 8.4220 5.3537
angles (deg): 90.00 97.85 90.00
Last column: nearest neighbours and their distance in Å.
Space group C2/m (No. 12)
One atom of each set of equivalent atoms:
1 Tl 0.0000 0.0000 0.0000 x2  4 Pd 2.68-2.76
2 Ga 0.0000 0.2965 0.5000 x4  7 Pd 2.50-2.70
3 Ga 0.0000 0.5000 0.0000 x2  6 Pd 2.46-2.60
4 Pd 0.0000 0.0000 0.5000 x2  2 Ga 2.50, 2 Tl 2.68
5 Pd 0.2018 0.5000 0.7063 x4  3 Ga 2.46-2.55
6 Pd 0.2316 0.3294 0.2366 x8  3 Ga 2.56-2.70, 2 Pd 2.84-2.87

## Properties
crystal system	monoclinic
ΔH_f (0 K)	-372	meV/atom

Entry 4:
Material: TlGa2Pd2
Method: DFT, GGA-PBE
State: optimized geometry

a b c (Å): 3.8344 3.8344 12.7050
angles (deg): 90.00 90.00 90.00
Last column: nearest neighbours and their distance in Å.
Space group I4/mmm (No. 139)
One atom of each set of equivalent atoms:
1 Tl 0.0000 0.0000 0.0000 x2  8 Pd 3.07
2 Ga 0.0000 0.5000 0.2500 x4  4 Pd 2.58, 4 Ga 2.71
3 Pd 0.0000 0.0000 0.3862 x4  4 Ga 2.58, 1 Pd 2.89

## Properties
crystal system	tetragonal
polymorph energy (0 for the lowest one)	8.3	meV per atom
ΔH_f (0 K)	-331	meV/atom

Entry 5:
Material: TlGaPd3
Method: DFT, GGA-PBE
State: optimized geometry

a b c (Å): 5.0692 5.0692 5.0692
angles (deg): 90.00 90.00 90.00
Last column: nearest neighbours and their distance in Å.
Space group Pm-3m (No. 221)
One atom of each set of equivalent atoms:
1 Tl 0.0000 0.0000 0.0000 x1  6 Pd 2.53
2 Ga 0.5000 0.5000 0.5000 x1  12 Pd 3.58
3 Pd 0.0000 0.0000 0.5000 x3  2 Tl 2.53

## Properties
crystal system	cubic
polymorph energy (0 for the lowest one)	1101.5	meV per atom
ΔH_f (0 K)	786	meV/atom

Entry 6:
Material: TlGaPd2
Method: DFT, GGA-PBE
State: optimized geometry

a b c (Å): 4.2110 4.2110 17.9129
angles (deg): 90.00 90.00 90.00
Last column: nearest neighbours and their distance in Å.
Space group I-42d (No. 122)
One atom of each set of equivalent atoms:
1 Tl 0.0000 0.0000 0.0000 x4  4 Pd 2.74, 4 Ga 2.98
2 Ga 0.0000 0.0000 0.5000 x4  4 Pd 2.64
3 Pd 0.2185 0.2500 0.6250 x8  2 Ga 2.64, 2 Tl 2.74, 2 Pd 2.80

## Properties
crystal system	tetragonal
ΔH_f (0 K)	-61	meV/atom